[1]
## SmPaTcPt (PBE-GGA)

Data for crystalline SmPaTcPt at its relaxed geometry.

Geometry as CIF:
```
data_SmPaTcPt
_symmetry_space_group_name_H-M 'F -4 3 m'
_symmetry_Int_Tables_number 216
_symmetry_space_group_name_Hall 'F -4 2 3'
_cell_length_a 6.991
_cell_length_b 6.991
_cell_length_c 6.991
_cell_angle_alpha 90.00
_cell_angle_beta 90.00
_cell_angle_gamma 90.00
loop_
_atom_site_label
_atom_site_fract_x
_atom_site_fract_y
_atom_site_fract_z
Sm1 0.000 0.000 0.000
Pa1 0.000 0.000 0.500
Tc1 0.250 0.250 0.750
Pt1 0.250 0.250 0.250
```

Summary:
- V: 341.64 Å³/cell
- Formation energy: -0.4181 eV per atom
- Size of the total moment: 0.0 Bohr magnetons per cell
- Final energy: -8.07 eV per atom

***

[2]
## Pa2SnPt (PBE-GGA)

Data for crystalline Pa2SnPt at its relaxed geometry.

Geometry as CIF:
```
data_Pa2SnPt
_symmetry_space_group_name_H-M 'P 4/m m m'
_symmetry_Int_Tables_number 123
_symmetry_space_group_name_Hall '-P 4 2'
_cell_length_a 5.582
_cell_length_b 5.582
_cell_length_c 3.037
_cell_angle_alpha 90.00
_cell_angle_beta 90.00
_cell_angle_gamma 90.00
loop_
_atom_site_label
_atom_site_fract_x
_atom_site_fract_y
_atom_site_fract_z
Pa1 0.000 0.500 0.000
Sn1 0.000 0.000 0.500
Pt1 0.500 0.500 0.500
```

Summary:
- Relative energy among the computed polymorphs: 234 meV per atom
- V: 94.61 Å³/cell
- Formation energy: -0.3048 eV per atom
- Size of the total moment: 1.4 Bohr magnetons per cell
- Final energy: -7.56 eV per atom

***

[3]
## PaSnPt6 (PBE-GGA)

Data for crystalline PaSnPt6 at its relaxed geometry.

Geometry as CIF:
```
data_PaSnPt6
_symmetry_space_group_name_H-M 'P 4/m m m'
_symmetry_Int_Tables_number 123
_symmetry_space_group_name_Hall '-P 4 2'
_cell_length_a 4.133
_cell_length_b 4.133
_cell_length_c 8.213
_cell_angle_alpha 90.00
_cell_angle_beta 90.00
_cell_angle_gamma 90.00
loop_
_atom_site_label
_atom_site_fract_x
_atom_site_fract_y
_atom_site_fract_z
Pa1 0.000 0.000 0.000
Sn1 0.000 0.000 0.500
Pt1 0.000 0.500 0.248
Pt2 0.500 0.500 0.000
Pt3 0.500 0.500 0.500
```

Summary:
- V: 140.27 Å³/cell
- Formation energy: -0.6966 eV per atom
- Size of the total moment: 0.0 Bohr magnetons per cell
- Final energy: -6.91 eV per atom

***

[4]
## PaSn2Pt (PBE-GGA)

Data for crystalline PaSn2Pt at its relaxed geometry.

Geometry as CIF:
```
data_PaSn2Pt
_symmetry_space_group_name_H-M 'R -3 m'
_symmetry_Int_Tables_number 166
_symmetry_space_group_name_Hall '-R 3 2"'
_cell_length_a 3.2477
_cell_length_b 3.2477
_cell_length_c 31.5086
_cell_angle_alpha 90.00
_cell_angle_beta 90.00
_cell_angle_gamma 120.00
loop_
_atom_site_label
_atom_site_fract_x
_atom_site_fract_y
_atom_site_fract_z
Pa1 0.0000 0.0000 0.0000
Sn1 0.0000 0.0000 0.1007
Pt1 0.0000 0.0000 0.5000
```

Summary:
- Relative energy among the computed polymorphs: 525 meV per atom
- V: 287.82 Å³/cell
- Formation energy: 0.0030 eV per atom
- Size of the total moment: 0.1 Bohr magnetons per cell
- Final energy: -5.88 eV per atom

***

[5]
## Pa2SnPt (PBE-GGA)

Data for crystalline Pa2SnPt at its relaxed geometry.

Geometry as CIF:
```
data_Pa2SnPt
_symmetry_space_group_name_H-M 'P 4/m m m'
_symmetry_Int_Tables_number 123
_symmetry_space_group_name_Hall '-P 4 2'
_cell_length_a 3.294
_cell_length_b 3.294
_cell_length_c 8.532
_cell_angle_alpha 90.00
_cell_angle_beta 90.00
_cell_angle_gamma 90.00
loop_
_atom_site_label
_atom_site_fract_x
_atom_site_fract_y
_atom_site_fract_z
Pa1 0.000 0.000 0.226
Sn1 0.500 0.500 0.500
Pt1 0.500 0.500 0.000
```

Summary:
- Relative energy among the computed polymorphs: 0 meV per atom
- V: 92.57 Å³/cell
- Formation energy: -0.5392 eV per atom
- Size of the total moment: 0.0 Bohr magnetons per cell
- Final energy: -7.80 eV per atom

***

[6]
## Pa2SnPt (PBE-GGA)

Data for crystalline Pa2SnPt at its relaxed geometry.

Geometry as CIF:
```
data_Pa2SnPt
_symmetry_space_group_name_H-M 'R -3 m'
_symmetry_Int_Tables_number 166
_symmetry_space_group_name_Hall '-R 3 2"'
_cell_length_a 3.1752
_cell_length_b 3.1752
_cell_length_c 32.7373
_cell_angle_alpha 90.00
_cell_angle_beta 90.00
_cell_angle_gamma 120.00
loop_
_atom_site_label
_atom_site_fract_x
_atom_site_fract_y
_atom_site_fract_z
Pa1 0.0000 0.0000 0.0824
Sn1 0.0000 0.0000 0.5000
Pt1 0.0000 0.0000 0.0000
```

Summary:
- Relative energy among the computed polymorphs: 553 meV per atom
- V: 285.84 Å³/cell
- Formation energy: 0.0139 eV per atom
- Size of the total moment: 1.6 Bohr magnetons per cell
- Final energy: -7.24 eV per atom

***

[7]
## PaSnPt4 (PBE-GGA)

Data for crystalline PaSnPt4 at its relaxed geometry.

Geometry as CIF:
```
data_PaSnPt4
_symmetry_space_group_name_H-M 'F -4 3 m'
_symmetry_Int_Tables_number 216
_symmetry_space_group_name_Hall 'F -4 2 3'
_cell_length_a 7.663
_cell_length_b 7.663
_cell_length_c 7.663
_cell_angle_alpha 90.00
_cell_angle_beta 90.00
_cell_angle_gamma 90.00
loop_
_atom_site_label
_atom_site_fract_x
_atom_site_fract_y
_atom_site_fract_z
Pa1 0.000 0.000 0.000
Sn1 0.250 0.250 0.750
Pt1 0.125 0.125 0.375
```

Summary:
- V: 449.98 Å³/cell
- Formation energy: -0.6837 eV per atom
- Size of the total moment: 2.1 Bohr magnetons per cell
- Final energy: -6.96 eV per atom

***

[8]
## PaSn2Pt (PBE-GGA)

Data for crystalline PaSn2Pt at its relaxed geometry.

Geometry as CIF:
```
data_PaSn2Pt
_symmetry_space_group_name_H-M 'P 4/m m m'
_symmetry_Int_Tables_number 123
_symmetry_space_group_name_Hall '-P 4 2'
_cell_length_a 4.489
_cell_length_b 4.489
_cell_length_c 4.467
_cell_angle_alpha 90.00
_cell_angle_beta 90.00
_cell_angle_gamma 90.00
loop_
_atom_site_label
_atom_site_fract_x
_atom_site_fract_y
_atom_site_fract_z
Pa1 0.000 0.000 0.000
Sn1 0.000 0.500 0.500
Pt1 0.500 0.500 0.000
```

Summary:
- Relative energy among the computed polymorphs: 98 meV per atom
- V: 90.01 Å³/cell
- Formation energy: -0.4241 eV per atom
- Size of the total moment: 0.0 Bohr magnetons per cell
- Final energy: -6.31 eV per atom

***

> Among the records above, which one has the highest size of the total moment?

PaSnPt4